1.
The following is a GGA-PBE calculation of NaZrTl after structural relaxation, from Alexandria.

a = 3.191 Å, b = 15.895 Å, c = 3.190 Å
α = 89.93°, β = 89.64°, γ = 78.43°
Atoms (fractional coordinates):
1 Tl 0.629 0.905 0.641
2 Zr 0.630 0.401 0.140
3 Tl 0.291 0.240 0.641
4 Na 0.955 0.078 0.141
5 Na 0.304 0.729 0.141
6 Zr 0.993 0.538 0.640

Output
E above lowest polymorph ... 5.0 kJ/mol of atoms
Magnetic moment ... 0.000 μB/atom
Space group ... No. 8
Energy of formation ... 0.01 eV per atom


2.
The following is a GGA-PBE calculation of NaZrTl after structural relaxation, from Alexandria.

a = 5.241 Å, b = 5.241 Å, c = 6.169 Å
α = 90.00°, β = 90.00°, γ = 120.00°
Atoms (fractional coordinates):
1 Na 0.000 0.000 0.000
2 Tl 0.333 0.667 0.750
3 Tl 0.667 0.333 0.250
4 Na 0.000 0.000 0.500
5 Zr 0.667 0.333 0.750
6 Zr 0.333 0.667 0.250

Output
E above lowest polymorph ... 18.0 kJ/mol of atoms
Magnetic moment ... 0.000 μB/atom
Space group ... No. 194
Energy of formation ... 0.15 eV per atom


3.
The following is a GGA-PBE calculation of NaZrTl after structural relaxation, from Alexandria.

a = 14.364 Å, b = 3.304 Å, c = 3.304 Å
α = 90.00°, β = 90.09°, γ = 90.00°
Atoms (fractional coordinates):
1 Tl 0.734 0.250 0.252
2 Tl 0.266 0.750 0.748
3 Zr 0.575 0.750 0.751
4 Na 0.106 0.250 0.246
5 Zr 0.425 0.250 0.249
6 Na 0.894 0.750 0.754

Output
E above lowest polymorph ... 0.0 kJ/mol of atoms
Magnetic moment ... 0.000 μB/atom
Space group ... No. 11
Energy of formation ... -0.04 eV per atom


4.
The following is a GGA-PBE calculation of Na2ZrTl2 after structural relaxation, from Alexandria.

a = 8.613 Å, b = 8.613 Å, c = 3.518 Å
α = 90.00°, β = 90.00°, γ = 90.00°
Atoms (fractional coordinates):
1 Na 0.870 0.370 0.500
2 Na 0.370 0.130 0.500
3 Tl 0.825 0.675 0.000
4 Tl 0.325 0.825 0.000
5 Na 0.630 0.870 0.500
6 Tl 0.675 0.175 0.000
7 Zr 0.500 0.500 0.000
8 Na 0.130 0.630 0.500
9 Tl 0.175 0.325 0.000
10 Zr 0.000 0.000 0.000

Output
Magnetic moment ... 0.000 μB/atom
Space group ... No. 127
Energy of formation ... 0.22 eV per atom


5.
The following is a GGA-PBE calculation of NaZrTl after structural relaxation, from Alexandria.

a = 4.093 Å, b = 4.093 Å, c = 11.656 Å
α = 90.00°, β = 90.00°, γ = 90.00°
Atoms (fractional coordinates):
1 Zr 0.000 0.500 0.968
2 Na 0.500 0.000 0.751
3 Tl 0.500 0.500 0.500
4 Zr 0.500 0.000 0.032
5 Na 0.000 0.500 0.249
6 Tl 0.000 0.000 0.500

Output
E above lowest polymorph ... 52.2 kJ/mol of atoms
Magnetic moment ... 0.000 μB/atom
Space group ... No. 129
Energy of formation ... 0.50 eV per atom


6.
The following is a GGA-PBE calculation of NaZrTl after structural relaxation, from Alexandria.

a = 3.267 Å, b = 3.233 Å, c = 17.136 Å
α = 90.00°, β = 90.00°, γ = 120.35°
Atoms (fractional coordinates):
1 Na 0.273 0.546 0.172
2 Tl 0.280 0.559 0.500
3 Tl 0.613 0.226 0.000
4 Na 0.273 0.546 0.828
5 Zr 0.614 0.228 0.652
6 Zr 0.614 0.228 0.348

Output
E above lowest polymorph ... 20.9 kJ/mol of atoms
Magnetic moment ... 0.000 μB/atom
Space group ... No. 38
Energy of formation ... 0.18 eV per atom


7.
The following is a GGA-PBE calculation of NaZrTl2 after structural relaxation, from Alexandria.

a = 7.944 Å, b = 7.944 Å, c = 6.553 Å
α = 52.69°, β = 52.69°, γ = 90.00°
Atoms (fractional coordinates):
1 Na 0.500 0.500 0.000
2 Na 0.250 0.750 0.500
3 Zr 0.750 0.250 0.500
4 Tl 0.128 0.625 0.250
5 Tl 0.875 0.872 0.750
6 Zr 0.000 0.000 0.000
7 Tl 0.375 0.378 0.750
8 Tl 0.622 0.125 0.250

Output
Magnetic moment ... 0.000 μB/atom
Space group ... No. 122
Energy of formation ... 0.31 eV per atom


8.
The following is a GGA-PBE calculation of NaZrTl2 after structural relaxation, from Alexandria.

a = 3.335 Å, b = 3.335 Å, c = 10.769 Å
α = 81.09°, β = 81.09°, γ = 60.00°
Atoms (fractional coordinates):
1 Na 0.500 0.500 0.500
2 Tl 0.082 0.082 0.755
3 Zr 0.667 0.667 0.000
4 Tl 0.252 0.252 0.245

Output
Magnetic moment ... 0.000 μB/atom
Space group ... No. 160
Energy of formation ... 0.03 eV per atom


9.
The following is a GGA-PBE calculation of NaZrTl after structural relaxation, from Alexandria.

a = 5.248 Å, b = 5.248 Å, c = 3.232 Å
α = 90.00°, β = 90.00°, γ = 120.00°
Atoms (fractional coordinates):
1 Zr 0.333 0.667 0.000
2 Na 0.667 0.333 0.500
3 Tl 0.000 0.000 0.000

Output
E above lowest polymorph ... 36.6 kJ/mol of atoms
Magnetic moment ... 0.000 μB/atom
Space group ... No. 187
Energy of formation ... 0.34 eV per atom


10.
The following is a GGA-PBE calculation of NaZrTl after structural relaxation, from Alexandria.

a = 4.836 Å, b = 4.836 Å, c = 11.269 Å
α = 90.00°, β = 90.00°, γ = 120.00°
Atoms (fractional coordinates):
1 Tl 0.000 0.000 0.750
2 Tl 0.000 0.000 0.250
3 Na 0.333 0.667 0.250
4 Na 0.667 0.333 0.750
5 Zr 0.000 0.000 0.500
6 Zr 0.000 0.000 0.000

Output
E above lowest polymorph ... 121.9 kJ/mol of atoms
Magnetic moment ... 0.000 μB/atom
Space group ... No. 194
Energy of formation ... 1.22 eV per atom


11.
The following is a GGA-PBE calculation of NaZrTl after structural relaxation, from Alexandria.

a = 3.342 Å, b = 16.448 Å, c = 3.342 Å
α = 95.74°, β = 60.09°, γ = 95.73°
Atoms (fractional coordinates):
1 Zr 0.597 0.398 0.624
2 Tl 0.880 0.238 0.907
3 Na 0.376 0.730 0.404
4 Na 0.161 0.075 0.189
5 Zr 0.980 0.546 0.007
6 Tl 0.771 0.904 0.797

Output
E above lowest polymorph ... 9.0 kJ/mol of atoms
Magnetic moment ... 0.000 μB/atom
Space group ... No. 8
Energy of formation ... 0.05 eV per atom


12.
The following is a GGA-PBE calculation of Na6Tm after structural relaxation, from Alexandria.

a = 7.181 Å, b = 7.181 Å, c = 7.181 Å
α = 109.47°, β = 109.47°, γ = 109.47°
Atoms (fractional coordinates):
1 Na 0.250 0.500 0.750
2 Na 0.500 0.750 0.250
3 Na 0.500 0.250 0.750
4 Na 0.750 0.500 0.250
5 Na 0.250 0.750 0.500
6 Na 0.750 0.250 0.500
7 Tm 0.000 0.000 0.000

Output
Magnetic moment ... 0.000 μB/atom
Space group ... No. 229
Energy of formation ... 0.58 eV per atom


13.
The following is a GGA-PBE calculation of NaTm after structural relaxation, from Alexandria.

a = 3.419 Å, b = 3.419 Å, c = 6.265 Å
α = 90.00°, β = 90.00°, γ = 120.00°
Atoms (fractional coordinates):
1 Na 0.333 0.667 0.500
2 Tm 0.000 0.000 0.000

Output
Magnetic moment ... 0.000 μB/atom
Space group ... No. 187
Energy of formation ... 0.30 eV per atom


14.
The following is a GGA-PBE calculation of NaTm3 after structural relaxation, from Alexandria.

a = 5.551 Å, b = 5.551 Å, c = 5.551 Å
α = 60.00°, β = 60.00°, γ = 60.00°
Atoms (fractional coordinates):
1 Na 0.000 0.000 0.000
2 Tm 0.500 0.500 0.500
3 Tm 0.750 0.750 0.750
4 Tm 0.250 0.250 0.250

Output
Magnetic moment ... 0.000 μB/atom
Space group ... No. 225
Energy of formation ... 0.32 eV per atom


15.
The following is a GGA-PBE calculation of NaYTm2 after structural relaxation, from Alexandria.

a = 3.519 Å, b = 3.519 Å, c = 10.430 Å
α = 90.00°, β = 90.00°, γ = 90.00°
Atoms (fractional coordinates):
1 Y 0.500 0.500 0.000
2 Tm 0.000 0.000 0.770
3 Tm 0.000 0.000 0.230
4 Na 0.500 0.500 0.500

Output
E above lowest polymorph ... 0.0 kJ/mol of atoms
Magnetic moment ... 0.000 μB/atom
Space group ... No. 123
Energy of formation ... 0.15 eV per atom


16.
The following is a GGA-PBE calculation of NaY2Tm after structural relaxation, from Alexandria.

a = 3.533 Å, b = 3.533 Å, c = 10.493 Å
α = 90.00°, β = 90.00°, γ = 90.00°
Atoms (fractional coordinates):
1 Na 0.500 0.500 0.500
2 Y 0.000 0.000 0.229
3 Tm 0.500 0.500 0.000
4 Y 0.000 0.000 0.771

Output
E above lowest polymorph ... 0.0 kJ/mol of atoms
Magnetic moment ... 0.000 μB/atom
Space group ... No. 123
Energy of formation ... 0.13 eV per atom


17.
The following is a GGA-PBE calculation of NaYTm2 after structural relaxation, from Alexandria.

a = 3.472 Å, b = 3.472 Å, c = 12.771 Å
α = 82.19°, β = 82.19°, γ = 60.00°
Atoms (fractional coordinates):
1 Y 0.500 0.500 0.500
2 Tm 0.092 0.092 0.724
3 Na 0.000 0.000 0.000
4 Tm 0.908 0.908 0.276

Output
E above lowest polymorph ... 3.0 kJ/mol of atoms
Magnetic moment ... 0.000 μB/atom
Space group ... No. 166
Energy of formation ... 0.18 eV per atom


18.
The following is a GGA-PBE calculation of NaY2Tm after structural relaxation, from Alexandria.

a = 3.495 Å, b = 3.495 Å, c = 12.832 Å
α = 82.17°, β = 82.17°, γ = 60.00°
Atoms (fractional coordinates):
1 Tm 0.500 0.500 0.500
2 Na 0.000 0.000 0.000
3 Y 0.093 0.093 0.722
4 Y 0.907 0.907 0.278

Output
E above lowest polymorph ... 3.4 kJ/mol of atoms
Magnetic moment ... 0.000 μB/atom
Space group ... No. 166
Energy of formation ... 0.16 eV per atom


19.
The following is a GGA-PBE calculation of NaTmZn10 after structural relaxation, from Alexandria.

a = 4.277 Å, b = 5.254 Å, c = 9.181 Å
α = 90.00°, β = 90.00°, γ = 90.00°
Atoms (fractional coordinates):
1 Zn 0.000 0.000 0.337
2 Zn 0.500 0.758 0.763
3 Zn 0.500 0.000 0.500
4 Zn 0.000 0.500 0.827
5 Zn 0.500 0.242 0.237
6 Zn 0.500 0.758 0.237
7 Zn 0.000 0.000 0.663
8 Zn 0.500 0.500 0.000
9 Tm 0.000 0.000 0.000
10 Na 0.000 0.500 0.500
11 Zn 0.000 0.500 0.173
12 Zn 0.500 0.242 0.763

Output
Magnetic moment ... 0.000 μB/atom
Space group ... No. 47
Energy of formation ... -0.14 eV per atom


20.
The following is a GGA-PBE calculation of Na2TmZn9 after structural relaxation, from Alexandria.

a = 5.355 Å, b = 5.355 Å, c = 9.103 Å
α = 72.89°, β = 72.89°, γ = 60.00°
Atoms (fractional coordinates):
1 Zn 0.417 0.417 0.246
2 Tm 0.000 0.000 0.000
3 Zn 0.334 0.334 0.998
4 Zn 0.583 0.079 0.754
5 Zn 0.583 0.583 0.754
6 Zn 0.666 0.666 0.002
7 Zn 0.500 0.500 0.500
8 Na 0.856 0.856 0.431
9 Zn 0.921 0.417 0.246
10 Na 0.144 0.144 0.569
11 Zn 0.417 0.921 0.246
12 Zn 0.079 0.583 0.754

Output
Magnetic moment ... 0.000 μB/atom
Space group ... No. 166
Energy of formation ... -0.12 eV per atom